(1)
# K12Zn3H5 (GGA-PBE, optimized geometry)
# - DOS at the Fermi energy (states/eV per cell) = 94.9
# - final energy (eV per atom) = -1.614
data_K12Zn3H5
_cell_length_a 18.249
_cell_length_b 18.249
_cell_length_c 18.249
_cell_angle_alpha 90.00
_cell_angle_beta 90.00
_cell_angle_gamma 90.00
_symmetry_space_group_name_H-M 'I a -3 d'
_symmetry_Int_Tables_number 230
_symmetry_space_group_name_Hall '-I 4bd 2c 3'
loop_
_atom_site_label
_atom_site_fract_x
_atom_site_fract_y
_atom_site_fract_z
_atom_site_occupancy
K1 0.032 0.050 0.650 1
Zn1 0.000 0.250 0.125 1
H1 0.000 0.000 0.000 1
H2 0.000 0.250 0.375 1

(2)
# CsAsI6 (GGA-PBE, optimized geometry)
# - DOS at the Fermi energy (states/eV per cell) = 40.5
# - final energy (eV per atom) = -2.168
# - formation energy from raw total energies (eV/atom) = -0.32
data_CsAsI6
_cell_length_a 7.7432
_cell_length_b 7.7432
_cell_length_c 22.3202
_cell_angle_alpha 90.00
_cell_angle_beta 90.00
_cell_angle_gamma 120.00
_symmetry_space_group_name_H-M 'R -3 m'
_symmetry_Int_Tables_number 166
_symmetry_space_group_name_Hall '-R 3 2"'
loop_
_atom_site_label
_atom_site_fract_x
_atom_site_fract_y
_atom_site_fract_z
_atom_site_occupancy
Cs1 0.0000 0.0000 0.0000 1
As1 0.0000 0.0000 0.5000 1
I1 0.0063 0.5031 0.9084 1

(3)
# NpBr2Cl3 (GGA-PBE, optimized geometry)
# - DOS at the Fermi energy (states/eV per cell) = 10.7
# - final energy (eV per atom) = -4.915
# - formation energy from raw total energies (eV/atom) = -1.28
data_NpBr2Cl3
_cell_length_a 5.335
_cell_length_b 7.794
_cell_length_c 13.412
_cell_angle_alpha 90.00
_cell_angle_beta 90.00
_cell_angle_gamma 90.00
_symmetry_space_group_name_H-M 'I m m 2'
_symmetry_Int_Tables_number 44
_symmetry_space_group_name_Hall 'I 2 -2'
loop_
_atom_site_label
_atom_site_fract_x
_atom_site_fract_y
_atom_site_fract_z
_atom_site_occupancy
Np1 0.000 0.000 0.000 1
Br1 0.000 0.238 0.860 1
Cl1 0.000 0.225 0.129 1
Cl2 0.000 0.500 0.499 1

(4)
# Ba2Zn5Pt4 (GGA-PBE, optimized geometry)
# - DOS at the Fermi energy (states/eV per cell) = 11.3
# - final energy (eV per atom) = -3.703
# - energy of formation from the pure elements (eV/atom) = -0.577
data_Ba2Zn5Pt4
_cell_length_a 5.854
_cell_length_b 10.571
_cell_length_c 15.265
_cell_angle_alpha 90.00
_cell_angle_beta 90.00
_cell_angle_gamma 90.00
_symmetry_space_group_name_H-M 'F m m m'
_symmetry_Int_Tables_number 69
_symmetry_space_group_name_Hall '-F 2 2'
loop_
_atom_site_label
_atom_site_fract_x
_atom_site_fract_y
_atom_site_fract_z
_atom_site_occupancy
Ba1 0.000 0.000 0.150 1
Zn1 0.000 0.000 0.500 1
Zn2 0.250 0.250 0.000 1
Zn3 0.250 0.250 0.250 1
Pt1 0.000 0.157 0.374 1